A plane-wave DFT calculation with PBE was carried out for crystalline BaHoCdHg at its relaxed geometry.

* calculated formation energy: -0.260 eV/atom
* total magnetization: 0.00 Bohr magnetons per cell
* SG: No. 216
* total energy: -2.1891 eV/atom

a = 5.608 Å, b = 5.608 Å, c = 5.608 Å
α = 60.00°, β = 60.00°, γ = 60.00°
Fractional positions:
Cd  0.750  0.750  0.750
Ba  0.000  0.000  0.000
Hg  0.250  0.250  0.250
Ho  0.500  0.500  0.500